A plane-wave DFT calculation with PBE with a Hubbard U was carried out for an optimized crystal structure of Sm2Fe2As2O.

Cell: 3.933 3.933 8.747 Å, 90.00 90.00 90.00°
Space group P-4m2 (No. 115)
Symmetry-distinct sites (fractional):
Sm1 0.000 0.500 0.149 x2
Fe1 0.000 0.000 0.500 x1
Fe2 0.500 0.500 0.500 x1
As1 0.000 0.500 0.698 x2
O1 0.500 0.500 0.000 x1

## Properties
Fermi-level density of states	2.8	states/eV per cell
VASP energy	-6.10	eV per atom
spin magnetization	7.2	μB per formula unit